1.
A plane-wave DFT calculation with PBE was carried out for a relaxed KDy2AgS4 crystal.

Calculated values
- ΔE_f (raw) (eV/atom) = -1.589
- SG = Cmcm (63)
- magnetization (Bohr magnetons per cell) = 0.00
- uncorrected energy (eV per atom) = -5.30
- crystal system = orthorhombic

Unit cell a=7.0513 b=7.0513 c=14.2022 alpha=90.00 beta=90.00 gamma=146.68
Positions (direct):
K (0.1167, 0.8833, 0.7500)
K (0.8833, 0.1167, 0.2500)
Dy (0.3682, 0.6318, 0.5655)
Dy (0.3682, 0.6318, 0.9345)
Dy (0.6318, 0.3682, 0.0655)
Dy (0.6318, 0.3682, 0.4345)
Ag (0.1636, 0.8364, 0.2500)
Ag (0.8364, 0.1636, 0.7500)
S (0.0000, 0.0000, 0.0000)
S (0.0000, 0.0000, 0.5000)
S (0.2638, 0.7362, 0.1015)
S (0.2638, 0.7362, 0.3985)
S (0.4447, 0.5553, 0.7500)
S (0.5553, 0.4447, 0.2500)
S (0.7362, 0.2638, 0.6015)
S (0.7362, 0.2638, 0.8985)



2.
A plane-wave DFT calculation with PBE was carried out for a relaxed Cs6K23Cd crystal.

Calculated values
- SG = Fm-3m (225)
- magnetization (Bohr magnetons per cell) = 0.00
- uncorrected energy (eV per atom) = -1.03
- crystal system = cubic
- formation energy from the elements (meV/atom) = 15

Unit cell a=15.0296 b=15.0296 c=15.0296 alpha=60.00 beta=60.00 gamma=60.00
Positions (direct):
Cs (0.1950, 0.1950, 0.8050)
Cs (0.1950, 0.8050, 0.1950)
Cs (0.1950, 0.8050, 0.8050)
Cs (0.8050, 0.1950, 0.1950)
Cs (0.8050, 0.1950, 0.8050)
Cs (0.8050, 0.8050, 0.1950)
K (0.0000, 0.0000, 0.5000)
K (0.0000, 0.5000, 0.0000)
K (0.0000, 0.5000, 0.5000)
K (0.1442, 0.6186, 0.6186)
K (0.1705, 0.1705, 0.1705)
K (0.1705, 0.1705, 0.4886)
K (0.1705, 0.4886, 0.1705)
K (0.3814, 0.3814, 0.3814)
K (0.3814, 0.3814, 0.8558)
K (0.3814, 0.8558, 0.3814)
K (0.4886, 0.1705, 0.1705)
K (0.5000, 0.0000, 0.0000)
K (0.5000, 0.0000, 0.5000)
K (0.5000, 0.5000, 0.0000)
K (0.5000, 0.5000, 0.5000)
K (0.5114, 0.8295, 0.8295)
K (0.6186, 0.1442, 0.6186)
K (0.6186, 0.6186, 0.1442)
K (0.6186, 0.6186, 0.6186)
K (0.8295, 0.5114, 0.8295)
K (0.8295, 0.8295, 0.5114)
K (0.8295, 0.8295, 0.8295)
K (0.8558, 0.3814, 0.3814)
Cd (0.0000, 0.0000, 0.0000)



3.
A plane-wave DFT calculation with PBE was carried out for a relaxed K2CaFe crystal.

Calculated values
- SG = I-4m2 (119)
- magnetization (Bohr magnetons per cell) = 2.60
- uncorrected energy (eV per atom) = -2.37
- crystal system = tetragonal
- distance to the lowest polymorph of the same formula (eV per atom) = 0.220
- formation energy from the elements (meV/atom) = 799

Unit cell a=5.9913 b=5.9913 c=5.9913 alpha=120.13 beta=120.13 gamma=89.77
Positions (direct):
K (0.0000, 0.0000, 0.0000)
K (0.7500, 0.2500, 0.5000)
Ca (0.2500, 0.7500, 0.5000)
Fe (0.5000, 0.5000, 0.0000)



4.
A plane-wave DFT calculation with PBE was carried out for a relaxed TbPmTlIr crystal.

Calculated values
- SG = F-43m (216)
- magnetization (Bohr magnetons per cell) = 0.00
- uncorrected energy (eV per atom) = -5.57
- crystal system = cubic
- distance to the lowest polymorph of the same formula (eV per atom) = 0.134
- formation energy from the elements (meV/atom) = -422

Unit cell a=5.1749 b=5.1749 c=5.1749 alpha=60.00 beta=60.00 gamma=60.00
Positions (direct):
Tb (0.0000, 0.0000, 0.0000)
Pm (0.5000, 0.5000, 0.5000)
Tl (0.7500, 0.7500, 0.7500)
Ir (0.2500, 0.2500, 0.2500)



5.
A plane-wave DFT calculation with PBE was carried out for a relaxed CaBeOs crystal.

Calculated values
- SG = P4/nmm (129)
- magnetization (Bohr magnetons per cell) = 0.00
- uncorrected energy (eV per atom) = -5.61
- crystal system = tetragonal
- distance to the lowest polymorph of the same formula (eV per atom) = 0.000
- formation energy from the elements (meV/atom) = 45

Unit cell a=4.1286 b=4.1286 c=7.5307 alpha=90.00 beta=90.00 gamma=90.00
Positions (direct):
Ca (0.2500, 0.2500, 0.2081)
Ca (0.7500, 0.7500, 0.7919)
Be (0.2500, 0.2500, 0.6233)
Be (0.7500, 0.7500, 0.3767)
Os (0.2500, 0.7500, 0.5000)
Os (0.7500, 0.2500, 0.5000)



6.
A plane-wave DFT calculation with PBE was carried out for a relaxed K3Be2AgF8 crystal.

Calculated values
- ΔE_f (raw) (eV/atom) = -2.792
- SG = P-3m1 (164)
- magnetization (Bohr magnetons per cell) = 0.13
- uncorrected energy (eV per atom) = -4.83
- crystal system = trigonal

Unit cell a=5.7874 b=5.7874 c=7.4926 alpha=90.00 beta=90.00 gamma=120.00
Positions (direct):
K (0.0000, 0.0000, 0.0000)
K (0.3333, 0.6667, 0.6732)
K (0.6667, 0.3333, 0.3268)
Be (0.3333, 0.6667, 0.2119)
Be (0.6667, 0.3333, 0.7881)
Ag (0.0000, 0.0000, 0.5000)
F (0.1867, 0.3734, 0.2908)
F (0.1867, 0.8133, 0.2908)
F (0.3333, 0.6667, 0.0090)
F (0.3734, 0.1867, 0.7092)
F (0.6266, 0.8133, 0.2908)
F (0.6667, 0.3333, 0.9910)
F (0.8133, 0.1867, 0.7092)
F (0.8133, 0.6266, 0.7092)



7.
A plane-wave DFT calculation with PBE was carried out for a relaxed TaB2Sb crystal.

Calculated values
- ΔE_f (raw) (eV/atom) = 0.720
- SG = I-42d (122)
- magnetization (Bohr magnetons per cell) = 0.00
- uncorrected energy (eV per atom) = -6.61
- crystal system = tetragonal

Unit cell a=6.2145 b=6.2145 c=6.2145 alpha=129.69 beta=129.69 gamma=73.90
Positions (direct):
Ta (0.0000, 0.0000, 0.0000)
Ta (0.7500, 0.2500, 0.5000)
B (0.1142, 0.6250, 0.9892)
B (0.3750, 0.3642, 0.4892)
B (0.6358, 0.1250, 0.0108)
B (0.8750, 0.8858, 0.5108)
Sb (0.2500, 0.7500, 0.5000)
Sb (0.5000, 0.5000, 0.0000)



8.
A plane-wave DFT calculation with PBE was carried out for a relaxed GdAg4Au crystal.

Calculated values
- SG = F-43m (216)
- magnetization (Bohr magnetons per cell) = 7.73
- uncorrected energy (eV per atom) = -5.00
- crystal system = cubic
- formation energy from the elements (meV/atom) = -202

Unit cell a=5.5358 b=5.5358 c=5.5358 alpha=60.00 beta=60.00 gamma=60.00
Positions (direct):
Gd (0.0000, 0.0000, 0.0000)
Ag (0.3754, 0.3754, 0.3754)
Ag (0.3754, 0.3754, 0.8739)
Ag (0.3754, 0.8739, 0.3754)
Ag (0.8739, 0.3754, 0.3754)
Au (0.7500, 0.7500, 0.7500)



- uncorrected energy of number 2 (Cs6K23Cd)?
  -1.03 eV per atom



- Among the records above, which one has the lowest uncorrected energy?
  TaB2Sb



- Among the records above, which one has the lowest uncorrected energy?
  TaB2Sb



- What is the magnetization in the third record?
  2.60 Bohr magnetons per cell